# 1
## BaTlGa2N (PBE)

Data for BaTlGa2N after structural relaxation.

Unit cell a=5.5553 b=5.5553 c=4.5633 alpha=90.00 beta=90.00 gamma=90.00
Last column: nearest neighbours and their distance in Å.
Space group P4/mmm (No. 123)
Unique sites:
1 Ba 0.0000 0.0000 0.0000 [1 per cell]  8 Ga 3.59, 4 N 3.93
2 Tl 0.5000 0.5000 0.5000 [1 per cell]  2 N 2.28
3 Ga 0.0000 0.5000 0.5000 [2 per cell]  2 Tl 2.78
4 N 0.5000 0.5000 0.0000 [1 per cell]  2 Tl 2.28

Summary:
- Crystal system: tetragonal
- ΔE to the lowest computed polymorph: 0.246 eV per atom
- Formation energy (no corrections): 0.667 eV per atom

=====

# 2
## LaCe3Ru (PBE)

Data for LaCe3Ru after structural relaxation.

Unit cell a=5.4183 b=5.4183 c=5.4183 alpha=90.00 beta=90.00 gamma=90.00
Last column: nearest neighbours and their distance in Å.
Space group Pm-3m (No. 221)
Unique sites:
1 La 0.0000 0.0000 0.0000 [1 per cell]  12 Ce 3.83
2 Ce 0.0000 0.5000 0.5000 [3 per cell]  2 Ru 2.71
3 Ru 0.5000 0.5000 0.5000 [1 per cell]  6 Ce 2.71

Summary:
- Calculated total energy: -6.40 eV/atom
- Crystal system: cubic

=====

# 3
## Tb2SmOs (PBE)

Data for Tb2SmOs after structural relaxation.

Unit cell a=3.4886 b=3.4886 c=32.8731 alpha=90.00 beta=90.00 gamma=120.00
Last column: nearest neighbours and their distance in Å.
Space group R-3m (No. 166, hexagonal axes)
Unique sites:
1 Tb 0.0000 0.0000 0.1067 [6 per cell]  3 Os 2.82
2 Sm 0.0000 0.0000 0.0000 [3 per cell]  6 Sm 3.49, 2 Tb 3.51
3 Os 0.0000 0.0000 0.5000 [3 per cell]  6 Tb 2.82

Summary:
- Crystal system: trigonal
- ΔE to the lowest computed polymorph: 0.488 eV per atom